No. 1
The following is a DFT calculation (PBE) of a relaxed structure of Be2PIr.

* space-group type: F-43m
* M_tot: 0.00 μB per formula unit
* ΔH_f (0 K): 0.01 eV/atom

a = 3.987 Å, b = 3.987 Å, c = 3.987 Å
α = 60.00°, β = 60.00°, γ = 60.00°
Sites, in units of the cell vectors:
Be  0.250  0.250  0.250
Be  0.000  0.000  0.000
P  0.750  0.750  0.750
Ir  0.500  0.500  0.500


No. 2
The following is a DFT calculation (PBE) of a relaxed structure of DyLuTiTl.

* space-group type: F-43m
* M_tot: 2.89 μB per formula unit
* ΔH_f (0 K): 0.01 eV/atom

a = 5.227 Å, b = 5.227 Å, c = 5.227 Å
α = 60.00°, β = 60.00°, γ = 60.00°
Each line ends with the local moment (μB).
Sites, in units of the cell vectors:
Tl  0.250  0.250  0.250  -0.03
Dy  0.500  0.500  0.500  0.34
Lu  0.000  0.000  0.000  0.30
Ti  0.750  0.750  0.750  1.65


No. 3
The following is a DFT calculation (PBE) of a relaxed structure of LaCeSi.

* space-group type: I4/mmm
* energy relative to the elements, uncorrected: -0.55 eV/atom
* M_tot: 0.71 μB per formula unit

a = 4.377 Å, b = 4.377 Å, c = 9.012 Å
α = 104.06°, β = 104.06°, γ = 90.00°
Each line ends with the local moment (μB).
Sites, in units of the cell vectors:
Si  0.871  0.871  0.742  -0.01
Si  0.129  0.129  0.258  -0.01
La  0.320  0.320  0.639  0.13
La  0.680  0.680  0.361  0.13
Ce  0.500  0.000  0.000  0.28
Ce  0.000  0.500  0.000  0.28


No. 4
The following is a DFT calculation (PBE) of a relaxed structure of NaPr2Th3Te6.

* space-group type: C2/m
* energy relative to the elements, uncorrected: -1.18 eV/atom
* M_tot: 0.00 μB per formula unit

a = 4.431 Å, b = 9.119 Å, c = 10.132 Å
α = 105.07°, β = 102.63°, γ = 90.00°
Sites, in units of the cell vectors:
Th  0.172  0.833  0.343
Th  0.828  0.167  0.657
Th  0.500  0.500  0.000
Na  0.500  0.000  0.000
Pr  0.171  0.334  0.342
Pr  0.829  0.666  0.658
Te  0.998  0.246  0.996
Te  0.339  0.925  0.679
Te  0.664  0.580  0.329
Te  0.661  0.075  0.321
Te  0.002  0.754  0.004
Te  0.336  0.420  0.671


No. 5
The following is a DFT calculation (PBE) of a relaxed structure of Ni5Ag4.

* space-group type: I4/mmm
* M_tot: 1.99 μB per formula unit
* ΔH_f (0 K): 0.26 eV/atom

a = 6.037 Å, b = 6.037 Å, c = 6.037 Å
α = 95.87°, β = 95.87°, γ = 142.71°
Each line ends with the local moment (μB).
Sites, in units of the cell vectors:
Ni  0.653  0.347  0.000  0.43
Ni  0.000  0.000  0.000  0.42
Ni  0.653  0.653  0.307  0.43
Ni  0.347  0.347  0.693  0.43
Ni  0.347  0.653  0.000  0.43
Ag  0.321  0.000  0.321  -0.01
Ag  0.679  0.000  0.679  -0.01
Ag  0.000  0.679  0.679  -0.01
Ag  0.000  0.321  0.321  -0.01


No. 6
The following is a DFT calculation (PBE) of a relaxed structure of VCoCl2.

* space-group type: I-42d
* energy relative to the elements, uncorrected: 0.14 eV/atom
* M_tot: 4.49 μB per formula unit

a = 5.397 Å, b = 5.397 Å, c = 6.498 Å
α = 65.46°, β = 65.46°, γ = 90.00°
Each line ends with the local moment (μB).
Sites, in units of the cell vectors:
Cl  0.875  0.895  0.750  0.01
Cl  0.645  0.125  0.250  0.01
Cl  0.375  0.355  0.750  0.01
Cl  0.105  0.625  0.250  0.01
Co  0.000  0.000  0.000  1.49
Co  0.750  0.250  0.500  1.49
V  0.250  0.750  0.500  2.50
V  0.500  0.500  0.000  2.50


No. 7
The following is a DFT calculation (PBE) of a relaxed structure of Li4Cd5Au2.

* space-group type: P-1
* M_tot: 0.00 μB per formula unit
* ΔH_f (0 K): -0.30 eV/atom

a = 4.673 Å, b = 8.630 Å, c = 5.430 Å
α = 86.63°, β = 113.23°, γ = 90.68°
Sites, in units of the cell vectors:
Au  0.590  0.356  0.176
Au  0.410  0.644  0.824
Li  0.056  0.190  0.112
Li  0.330  0.279  0.659
Li  0.670  0.721  0.341
Li  0.944  0.810  0.888
Cd  0.217  0.901  0.435
Cd  0.858  0.454  0.723
Cd  0.500  0.000  0.000
Cd  0.142  0.546  0.277
Cd  0.783  0.099  0.565


No. 8
The following is a DFT calculation (PBE) of a relaxed structure of Li4Sb3Au.

* space-group type: Pmma
* energy relative to the elements, uncorrected: -0.44 eV/atom
* M_tot: 0.00 μB per formula unit

a = 5.027 Å, b = 6.453 Å, c = 9.699 Å
α = 90.00°, β = 90.00°, γ = 90.00°
Sites, in units of the cell vectors:
Sb  0.000  0.000  0.000
Sb  0.353  0.500  0.250
Sb  0.647  0.500  0.750
Sb  0.000  0.000  0.500
Sb  0.380  0.000  0.250
Sb  0.620  0.000  0.750
Au  0.000  0.500  0.000
Au  0.000  0.500  0.500
Li  0.133  0.744  0.750
Li  0.500  0.743  0.000
Li  0.867  0.256  0.250
Li  0.867  0.744  0.250
Li  0.500  0.257  0.000
Li  0.500  0.743  0.500
Li  0.133  0.256  0.750
Li  0.500  0.257  0.500


Number 5 is which compound?
Ni5Ag4